This record from Alexandria via LeMat-Bulk describes a PBEsol-optimized structure of FeCoMo2. The functional is SCAN.

The polymorph energy (0 for the lowest one) is 0 meV per atom. The value obtained for the energy of formation is 154 meV per atom. Its crystal system is tetragonal.

Unit cell a=3.5864 b=3.7352 c=3.7352 alpha=90.00 beta=90.00 gamma=90.00
With the nearest neighbours (Å) after each atom.
Positions (direct):
Mo  0.0000  0.0000  0.5000  4 Fe 2.59, 4 Co 2.59, 4 Mo 2.64
Co  0.5000  0.5000  0.5000  8 Mo 2.59, 4 Fe 2.64
Mo  0.0000  0.5000  0.0000  4 Fe 2.59, 4 Co 2.59, 4 Mo 2.64
Fe  0.5000  0.0000  0.0000  8 Mo 2.59, 4 Co 2.64

This record from Alexandria via LeMat-Bulk describes a PBEsol-optimized structure of KLaAg2Se. The functional is SCAN.

As for the formation energy (no corrections): 0.2093 eV/atom. Its crystal system is tetragonal.

Unit cell a=5.0691 b=5.0691 c=5.5575 alpha=90.00 beta=90.00 gamma=90.00
With the nearest neighbours (Å) after each atom.
Positions (direct):
Ag  0.0000  0.5000  0.0000  2 Se 2.53
Ag  0.5000  0.0000  0.0000  2 Se 2.53
Se  0.0000  0.0000  0.0000  4 Ag 2.53, 2 K 2.78
La  0.5000  0.5000  0.5000  4 K 3.58, 8 Ag 3.76
K  0.0000  0.0000  0.5000  2 Se 2.78

This record from Alexandria via LeMat-Bulk describes a PBEsol-optimized structure of Hf3CrTe. The functional is SCAN.

As for the formation energy (no corrections): 1.0491 eV/atom. Its crystal system is cubic.

Unit cell a=5.1263 b=5.1263 c=5.1263 alpha=90.00 beta=90.00 gamma=90.00
With the nearest neighbours (Å) after each atom.
Positions (direct):
Hf  0.5000  0.0000  0.0000  2 Te 2.56
Hf  0.0000  0.0000  0.5000  2 Te 2.56
Te  0.0000  0.0000  0.0000  6 Hf 2.56
Cr  0.5000  0.5000  0.5000  12 Hf 3.62
Hf  0.0000  0.5000  0.0000  2 Te 2.56

This record from Alexandria via LeMat-Bulk describes a PBEsol-optimized structure of HoAl4Ni. The functional is SCAN.

The value obtained for the energy of formation is -608 meV per atom. Its crystal system is orthorhombic.

Unit cell a=4.0263 b=6.5399 c=7.8774 alpha=90.00 beta=104.81 gamma=90.00
With the nearest neighbours (Å) after each atom.
Positions (direct):
Ho  0.3816  0.7500  0.7632  11 Al 2.95-3.21, 2 Ni 3.11
Al  0.4244  0.2500  0.8489  1 Ni 2.30
Al  0.0000  0.0000  0.0000  6 Al 2.84-2.89, 4 Ho 3.16
Ni  0.7263  0.7500  0.4527  7 Al 2.30-2.46
Al  0.1885  0.5521  0.3770  3 Ni 2.36-2.46, 1 Al 2.59
Al  0.1885  0.9479  0.3770  3 Ni 2.36-2.46, 1 Al 2.59
Ni  0.2737  0.2500  0.5473  7 Al 2.30-2.46
Al  0.8115  0.0521  0.6230  3 Ni 2.36-2.46, 1 Al 2.59
Al  0.8115  0.4479  0.6230  3 Ni 2.36-2.46, 1 Al 2.59
Al  0.5756  0.7500  0.1511  1 Ni 2.30
Ho  0.6184  0.2500  0.2368  11 Al 2.95-3.21, 2 Ni 3.11
Al  0.0000  0.5000  0.0000  6 Al 2.84-2.89, 4 Ho 3.16

This record from Alexandria via LeMat-Bulk describes a PBEsol-optimized structure of LaPH2. The functional is SCAN.

The calculation puts the uncorrected energy at -15.592 eV per atom. Its crystal system is cubic.

Unit cell a=4.1638 b=4.1638 c=4.1638 alpha=60.00 beta=60.00 gamma=60.00
With the nearest neighbours (Å) after each atom.
Positions (direct):
H  0.7500  0.7500  0.7500  4 La 2.55, 4 P 2.55
La  0.5000  0.5000  0.5000  8 H 2.55
P  0.0000  0.0000  0.0000  8 H 2.55
H  0.2500  0.2500  0.2500  4 La 2.55, 4 P 2.55

This record from Alexandria via LeMat-Bulk describes a PBEsol-optimized structure of BaSc2Te4. The functional is SCAN.

As for the formation energy (no corrections): -1.5657 eV/atom. Its crystal system is orthorhombic.

Unit cell a=4.2435 b=13.2301 c=15.4563 alpha=90.00 beta=90.00 gamma=90.00
With the nearest neighbours (Å) after each atom.
Positions (direct):
Te  0.7500  0.4111  0.5743  3 Sc 2.87-2.91
Te  0.7500  0.6234  0.9737  3 Sc 2.90
Te  0.2500  0.9719  0.7158  3 Sc 2.90-2.92
Te  0.2500  0.4719  0.7842  3 Sc 2.90-2.92
Te  0.7500  0.2035  0.8519  3 Sc 2.95-2.98
Te  0.7500  0.9111  0.9257  3 Sc 2.87-2.91
Sc  0.7500  0.4442  0.3905  6 Te 2.87-2.95
Te  0.7500  0.0281  0.2842  3 Sc 2.90-2.92
Te  0.7500  0.1234  0.5263  3 Sc 2.90
Sc  0.7500  0.9201  0.5960  6 Te 2.90-2.98
Ba  0.7500  0.2628  0.1731  8 Te 3.45-3.57
Sc  0.2500  0.5558  0.6095  6 Te 2.87-2.95
Te  0.2500  0.2965  0.3519  3 Sc 2.95-2.98
Sc  0.2500  0.0799  0.4040  6 Te 2.90-2.98
Te  0.2500  0.5889  0.4257  3 Sc 2.87-2.91
Ba  0.7500  0.7628  0.3269  8 Te 3.45-3.57
Te  0.7500  0.5281  0.2158  3 Sc 2.90-2.92
Te  0.7500  0.7035  0.6481  3 Sc 2.95-2.98
Ba  0.2500  0.2372  0.6731  8 Te 3.45-3.57
Te  0.2500  0.3766  0.0263  3 Sc 2.90
Sc  0.7500  0.4201  0.9040  6 Te 2.90-2.98
Te  0.2500  0.8766  0.4737  3 Sc 2.90
Ba  0.2500  0.7372  0.8269  8 Te 3.45-3.57
Te  0.2500  0.7965  0.1481  3 Sc 2.95-2.98
Te  0.2500  0.0889  0.0743  3 Sc 2.87-2.91
Sc  0.2500  0.0558  0.8905  6 Te 2.87-2.95
Sc  0.2500  0.5799  0.0960  6 Te 2.90-2.98
Sc  0.7500  0.9442  0.1095  6 Te 2.87-2.95

This record from Alexandria via LeMat-Bulk describes a PBEsol-optimized structure of Ta4Te. The functional is SCAN.

As for the formation energy (no corrections): 1.3776 eV/atom. The polymorph energy (0 for the lowest one) is 1345 meV per atom. Its crystal system is cubic.

Unit cell a=5.2698 b=5.2698 c=5.2698 alpha=109.47 beta=109.47 gamma=109.47
With the nearest neighbours (Å) after each atom.
Positions (direct):
Ta  0.5000  0.0000  0.0000  2 Te 2.63
Ta  0.0000  0.5000  0.0000  2 Te 2.63
Te  0.0000  0.0000  0.0000  8 Ta 2.63
Ta  0.5000  0.5000  0.5000  2 Te 2.63
Ta  0.0000  0.0000  0.5000  2 Te 2.63

This record from Alexandria via LeMat-Bulk describes a PBEsol-optimized structure of CdAg2Hg. The functional is SCAN.

The polymorph energy (0 for the lowest one) is 17 meV per atom. The value obtained for the energy of formation is 5 meV per atom. Its crystal system is cubic.

Unit cell a=4.6961 b=4.6961 c=4.6961 alpha=60.00 beta=60.00 gamma=60.00
With the nearest neighbours (Å) after each atom.
Positions (direct):
Ag  0.2500  0.2500  0.2500  4 Cd 2.88, 4 Hg 2.88
Hg  0.5000  0.5000  0.5000  8 Ag 2.88
Cd  0.0000  0.0000  0.0000  8 Ag 2.88
Ag  0.7500  0.7500  0.7500  4 Cd 2.88, 4 Hg 2.88

This record from Alexandria via LeMat-Bulk describes a PBEsol-optimized structure of ScCd2In. The functional is SCAN.

The value obtained for the energy of formation is -363 meV per atom. Its crystal system is tetragonal.

Unit cell a=4.3323 b=4.3323 c=4.4389 alpha=90.00 beta=90.00 gamma=90.00
With the nearest neighbours (Å) after each atom.
Positions (direct):
In  0.5000  0.5000  0.5000  4 Sc 3.06, 8 Cd 3.10
Sc  0.0000  0.0000  0.5000  4 In 3.06, 8 Cd 3.10
Cd  0.0000  0.5000  0.0000  4 Cd 3.06, 4 In 3.10, 4 Sc 3.10
Cd  0.5000  0.0000  0.0000  4 Cd 3.06, 4 In 3.10, 4 Sc 3.10

This record from Alexandria via LeMat-Bulk describes a PBEsol-optimized structure of BaP2BrO. The functional is SCAN.

As for the formation energy (no corrections): 0.6492 eV/atom. Its crystal system is tetragonal.

Unit cell a=4.4487 b=6.3400 c=6.3400 alpha=90.00 beta=90.00 gamma=90.00
With the nearest neighbours (Å) after each atom.
Positions (direct):
O  0.5000  0.0000  0.0000  2 Ba 2.22
P  0.0000  0.5000  0.0000  2 Ba 3.17
Ba  0.0000  0.0000  0.0000  2 O 2.22
Br  0.5000  0.5000  0.5000  8 P 3.87
P  0.0000  0.0000  0.5000  2 Ba 3.17

This record from Alexandria via LeMat-Bulk describes a PBEsol-optimized structure of Zr2ScSe. The functional is SCAN.

As for the formation energy (no corrections): -0.6020 eV/atom. Its crystal system is trigonal.

Unit cell a=3.3786 b=3.3786 c=8.9960 alpha=79.18 beta=79.18 gamma=60.00
With the nearest neighbours (Å) after each atom.
Positions (direct):
Se  0.0000  0.0000  0.0000  6 Zr 2.72
Zr  0.2615  0.2615  0.2156  3 Se 2.72
Zr  0.7385  0.7385  0.7844  3 Se 2.72
Sc  0.5000  0.5000  0.5000  6 Zr 3.17, 6 Sc 3.38

This record from Alexandria via LeMat-Bulk describes a PBEsol-optimized structure of Ba2Mn2Se2OF2. The functional is SCAN.

As for the formation energy (no corrections): -2.5321 eV/atom. Its crystal system is tetragonal.

Unit cell a=4.2321 b=4.2321 c=10.1774 alpha=102.00 beta=102.00 gamma=90.00
With the nearest neighbours (Å) after each atom.
Positions (direct):
Ba  0.3298  0.3298  0.6596  4 F 2.62
Se  0.0916  0.0916  0.1832  4 Mn 2.77
Mn  0.0000  0.5000  0.0000  2 O 2.12
Se  0.9084  0.9084  0.8168  4 Mn 2.77
Mn  0.5000  0.0000  0.0000  2 O 2.12
O  0.5000  0.5000  0.0000  4 Mn 2.12
Ba  0.6702  0.6702  0.3404  4 F 2.62
F  0.7500  0.2500  0.5000  4 Ba 2.62
F  0.2500  0.7500  0.5000  4 Ba 2.62

This record from Alexandria via LeMat-Bulk describes a PBEsol-optimized structure of TcSb. The functional is SCAN.

As for the formation energy (no corrections): 0.6175 eV/atom. The polymorph energy (0 for the lowest one) is 554 meV per atom. Its crystal system is tetragonal.

Unit cell a=4.1098 b=4.1098 c=5.0842 alpha=113.84 beta=113.84 gamma=90.00
With the nearest neighbours (Å) after each atom.
Positions (direct):
Sb  0.0000  0.0000  0.0000  8 Tc 2.91-2.93, 4 Sb 2.93
Sb  0.2500  0.7500  0.5000  8 Tc 2.91-2.93, 4 Sb 2.93
Tc  0.5000  0.5000  0.0000  8 Sb 2.91-2.93, 4 Tc 2.93
Tc  0.7500  0.2500  0.5000  8 Sb 2.91-2.93, 4 Tc 2.93

This record from Alexandria via LeMat-Bulk describes a PBEsol-optimized structure of NbCdInB2. The functional is SCAN.

The value obtained for the energy of formation is 1266 meV per atom. Its crystal system is tetragonal.

Unit cell a=4.3010 b=4.3010 c=5.4281 alpha=90.00 beta=90.00 gamma=90.00
With the nearest neighbours (Å) after each atom.
Positions (direct):
B  0.5000  0.0000  0.0000  2 Nb 2.15
Cd  0.0000  0.0000  0.5000  2 Nb 2.71
Nb  0.0000  0.0000  0.0000  4 B 2.15
In  0.5000  0.5000  0.5000  4 Cd 3.04
B  0.0000  0.5000  0.0000  2 Nb 2.15